A plane-wave DFT calculation with PBE was carried out for a relaxed structure of Li3Si.

Computed properties:
Total magnetization, μB/f.u.: 0.00
Total DFT energy (no corrections), eV/atom: -2.901
Energy relative to the elements, uncorrected, eV per atom: -0.110

Unit cell a=2.746 b=4.129 c=5.485 alpha=90.00 beta=90.00 gamma=90.00
Positions (direct):
Li 0.000 0.000 0.000
Li 0.500 0.500 0.281
Li 0.500 0.500 0.719
Si 0.000 0.000 0.500